# 1
Entry from Alexandria: a relaxed HRu2Rh crystal (PBE).

Summary:
Crystal system   cubic
Theoretical density   10.1 g/cm3
Total moment   1.00 μB/f.u.
Energy   -26.07 eV for the cell shown

Cell lengths 4.1384, 4.1384, 4.1384 Å; angles 60.00, 60.00, 60.00 degrees
Last column: magnetic moment on the atom in μB.
Atoms (fractional coordinates):
Rh: 0.5000 0.5000 0.5000  0.42
Ru: 0.7500 0.7500 0.7500  0.27
Ru: 0.2500 0.2500 0.2500  0.27
H: 0.0000 0.0000 0.0000  0.00

# 2
Entry from Alexandria: a relaxed HfCu2Pd4 crystal (PBE).

Summary:
Crystal system   tetragonal
Theoretical density   8.3 g/cm3
Total moment   0.00 μB/f.u.
Formation energy from the elements   0.486 eV/atom

Cell lengths 4.8725, 4.8725, 7.0529 Å; angles 69.79, 69.79, 90.00 degrees
Atoms (fractional coordinates):
Pd: 0.0000 0.5000 0.0000
Pd: 0.8015 0.8015 0.3971
Pd: 0.5000 0.0000 0.0000
Pd: 0.1985 0.1985 0.6029
Cu: 0.4031 0.4031 0.1939
Cu: 0.5969 0.5969 0.8061
Hf: 0.0000 0.0000 0.0000

# 3
Entry from Alexandria: a relaxed RbLiHgF4 crystal (PBE).

Summary:
Crystal system   monoclinic
Theoretical density   5.2 g/cm3
Formation energy from raw total energies   -214.38 kJ per mole of atoms
Total moment   0.00 μB/f.u.

Cell lengths 5.5918, 5.8500, 8.2352 Å; angles 90.00, 119.38, 90.00 degrees
Atoms (fractional coordinates):
F: 0.9346 0.5115 0.2953
F: 0.9346 0.9885 0.2953
F: 0.4640 0.7500 0.5561
F: 0.0654 0.4885 0.7047
F: 0.5360 0.2500 0.4439
F: 0.3573 0.7500 0.1706
F: 0.6427 0.2500 0.8294
F: 0.0654 0.0115 0.7047
Li: 0.8210 0.2500 0.6879
Li: 0.1790 0.7500 0.3121
Rb: 0.4000 0.2500 0.0864
Rb: 0.6000 0.7500 0.9136
Hg: 0.2220 0.2500 0.5397
Hg: 0.7780 0.7500 0.4603

# 4
Entry from Alexandria: a relaxed ReAs2Ru crystal (PBE).

Summary:
Crystal system   orthorhombic
Theoretical density   11.1 g/cm3
Total moment   0.00 μB/f.u.
Formation energy from the elements   0.024 eV/atom

Cell lengths 4.7852, 3.0516, 4.7343 Å; angles 71.13, 90.00, 90.00 degrees
Atoms (fractional coordinates):
Re: 0.0000 0.4203 0.5344
Ru: 0.5000 0.8306 0.7136
As: 0.0000 0.7069 0.9598
As: 0.5000 0.5422 0.2922

# 5
Entry from Alexandria: a relaxed Na2NpTcO6 crystal (PBE).

Summary:
Crystal system   tetragonal
Theoretical density   5.8 g/cm3
Formation energy from raw total energies   -196.85 kJ per mole of atoms
Total moment   4.01 μB/f.u.

Cell lengths 4.1832, 5.7298, 5.7298 Å; angles 90.00, 90.00, 90.00 degrees
Last column: magnetic moment on the atom in μB.
Atoms (fractional coordinates):
Na: 0.0925 0.0000 0.5000  0.00
Na: 0.0925 0.5000 0.0000  0.00
O: 0.6662 0.2429 0.2429  -0.02
O: 0.1734 0.0000 0.0000  0.21
O: 0.6662 0.7571 0.7571  -0.02
O: 0.6662 0.7571 0.2429  -0.02
O: 0.1542 0.5000 0.5000  -0.06
O: 0.6662 0.2429 0.7571  -0.02
Np: 0.6472 0.5000 0.5000  1.97
Tc: 0.6222 0.0000 0.0000  1.68

# 6
Entry from Alexandria: a relaxed SmHfSc2 crystal (PBE).

Summary:
Crystal system   tetragonal
Theoretical density   6.7 g/cm3
Total moment   0.00 μB/f.u.
Formation energy from the elements   0.144 eV/atom

Cell lengths 3.7851, 3.7851, 7.2716 Å; angles 90.00, 90.00, 90.00 degrees
Atoms (fractional coordinates):
Hf: 0.5000 0.5000 0.0000
Sc: 0.0000 0.0000 0.7848
Sc: 0.0000 0.0000 0.2152
Sm: 0.5000 0.5000 0.5000

# 7
Entry from Alexandria: a relaxed La4TlZn crystal (PBE).

Summary:
Crystal system   orthorhombic
Theoretical density   7.2 g/cm3
Total moment   0.00 μB/f.u.
Formation energy from the elements   -0.232 eV/atom

Cell lengths 3.8456, 9.1670, 21.6746 Å; angles 90.00, 90.00, 90.00 degrees
Atoms (fractional coordinates):
Zn: 0.7500 0.2511 0.4534
Zn: 0.7500 0.7511 0.0466
Zn: 0.2500 0.7489 0.5466
Zn: 0.2500 0.2489 0.9534
La: 0.7500 0.3727 0.0575
La: 0.2500 0.5294 0.4287
La: 0.2500 0.6273 0.9425
La: 0.2500 0.0294 0.0713
La: 0.2500 0.0084 0.7827
La: 0.7500 0.8413 0.6550
La: 0.7500 0.9706 0.9287
La: 0.7500 0.3413 0.8450
La: 0.7500 0.9916 0.2173
La: 0.7500 0.4916 0.2827
La: 0.2500 0.5084 0.7173
La: 0.7500 0.4706 0.5713
La: 0.7500 0.8727 0.4425
La: 0.2500 0.1587 0.3450
La: 0.2500 0.1273 0.5575
La: 0.2500 0.6587 0.1550
Tl: 0.7500 0.7103 0.8127
Tl: 0.2500 0.7897 0.3127
Tl: 0.2500 0.2897 0.1873
Tl: 0.7500 0.2103 0.6873

# 8
Entry from Alexandria: a relaxed Cs7K6Rb16 crystal (PBE).

Summary:
Crystal system   cubic
Theoretical density   1.5 g/cm3
Total moment   0.00 μB/f.u.
Formation energy from the elements   0.038 eV/atom

Cell lengths 15.8752, 15.8752, 15.8752 Å; angles 60.00, 60.00, 60.00 degrees
Atoms (fractional coordinates):
Cs: 0.0000 0.0000 0.5000
Cs: 0.5000 0.5000 0.5000
Cs: 0.0000 0.5000 0.0000
Cs: 0.5000 0.5000 0.0000
Cs: 0.5000 0.0000 0.5000
Cs: 0.0000 0.5000 0.5000
Cs: 0.5000 0.0000 0.0000
Rb: 0.8884 0.8884 0.3347
Rb: 0.3690 0.8929 0.3690
Rb: 0.1116 0.6653 0.1116
Rb: 0.1071 0.6310 0.6310
Rb: 0.8884 0.8884 0.8884
Rb: 0.6310 0.6310 0.6310
Rb: 0.8929 0.3690 0.3690
Rb: 0.6653 0.1116 0.1116
Rb: 0.6310 0.6310 0.1071
Rb: 0.3690 0.3690 0.3690
Rb: 0.6310 0.1071 0.6310
Rb: 0.8884 0.3347 0.8884
Rb: 0.3690 0.3690 0.8929
Rb: 0.1116 0.1116 0.6653
Rb: 0.1116 0.1116 0.1116
Rb: 0.3347 0.8884 0.8884
K: 0.7380 0.2620 0.7380
K: 0.7380 0.2620 0.2620
K: 0.2620 0.7380 0.2620
K: 0.2620 0.7380 0.7380
K: 0.2620 0.2620 0.7380
K: 0.7380 0.7380 0.2620

# 9
Entry from Alexandria: a relaxed GdErTm crystal (PBE).

Summary:
Crystal system   tetragonal
Theoretical density   8.8 g/cm3
Total moment   7.28 μB/f.u.
Formation energy from the elements   0.026 eV/atom

Cell lengths 3.5296, 3.5296, 7.8714 Å; angles 102.96, 102.96, 90.00 degrees
Last column: magnetic moment on the atom in μB.
Atoms (fractional coordinates):
Tm: 0.0018 0.0018 0.0036  -0.06
Er: 0.6646 0.6646 0.3293  -0.06
Gd: 0.3335 0.3335 0.6671  7.19

# 10
Entry from Alexandria: a relaxed RePt3Rh4 crystal (PBE).

Summary:
Crystal system   monoclinic
Theoretical density   16.7 g/cm3
Total moment   0.00 μB/f.u.
Formation energy from the elements   -0.104 eV/atom

Cell lengths 3.8892, 4.7556, 7.2995 Å; angles 89.68, 74.55, 65.86 degrees
Atoms (fractional coordinates):
Pt: 0.2585 0.2399 0.2432
Pt: 0.7415 0.7601 0.7568
Pt: 0.5000 0.5000 0.5000
Rh: 0.1212 0.1280 0.6295
Rh: 0.3736 0.3732 0.8797
Rh: 0.6264 0.6268 0.1203
Rh: 0.8788 0.8720 0.3705
Re: 0.0000 0.0000 0.0000

# 11
Entry from Alexandria: a relaxed RbY2Cl8 crystal (PBE).

Summary:
Crystal system   monoclinic
Theoretical density   2.4 g/cm3
Formation energy from raw total energies   -187.02 kJ per mole of atoms
Total moment   1.10 μB/f.u.

Cell lengths 8.3348, 7.0010, 7.0010 Å; angles 73.84, 80.20, 80.20 degrees
Last column: magnetic moment on the atom in μB.
Atoms (fractional coordinates):
Cl: 0.2931 0.5595 0.5595  0.00
Cl: 0.6528 0.9556 0.3362  0.10
Cl: 0.6528 0.3362 0.9556  0.10
Cl: 0.8016 0.7708 0.7708  0.23
Cl: 0.1984 0.2292 0.2292  0.23
Cl: 0.3472 0.0444 0.6638  0.10
Cl: 0.3472 0.6638 0.0444  0.10
Cl: 0.7069 0.4405 0.4405  0.00
Y: 0.4621 0.3222 0.3222  -0.01
Y: 0.5379 0.6778 0.6778  -0.01
Rb: 0.0000 0.0000 0.0000  0.00